First-principles (PBE) data for a relaxed structure of BaAlPt4, as listed in the Alexandria database.

Lattice parameters (Å, degrees): 5.507 5.507 5.507 60.00 60.00 60.00
Sites, in units of the cell vectors:
Ba  0.000  0.000  0.000
Al  0.250  0.250  0.250
Pt  0.128  0.624  0.624
Pt  0.624  0.128  0.624
Pt  0.624  0.624  0.128
Pt  0.624  0.624  0.624

Summary:
space-group type	F-43m (216)
energy	-5.423	eV per atom
formation energy from the elements	-0.4514	eV/atom